Record 1
Computed, not measured: crystalline Cu2Hg at its relaxed geometry at the PBE level of DFT.

Output
* Fermi-level density of states: 3.1 states/eV per cell
* calculated total energy: -16.1 eV for the cell shown
* magnetic moment: 0.0 μB per formula unit
* crystal system: cubic

```
Cu2Hg
1.0
0.0000 3.5916 3.5916
3.5916 0.0000 3.5916
3.5916 3.5916 0.0000
Cu Hg
4 2
Cartesian
0.0000 0.0000 0.0000 Cu
1.7958 1.7958 0.0000 Cu
1.7958 0.0000 1.7958 Cu
0.0000 1.7958 1.7958 Cu
2.6937 2.6937 2.6937 Hg
4.4895 4.4895 4.4895 Hg
```

Record 2
Computed, not measured: crystalline Cu2Hg at its relaxed geometry at the PBE level of DFT.

Output
* Fermi-level density of states: 0.8 states/eV per cell
* calculated total energy: -6.2 eV for the cell shown
* magnetic moment: 0.0 μB per formula unit
* crystal system: tetragonal

```
Cu2Hg
1.0
3.6090 0.0000 0.0000
0.0000 3.6090 0.0000
0.0000 0.0000 5.0672
Cu Hg
2 1
Cartesian
0.0000 0.0000 0.0000 Cu
1.8045 1.8045 2.5336 Cu
0.0000 0.0000 2.5336 Hg
```

Record 3
Computed, not measured: crystalline Cu2Hg at its relaxed geometry at the PBE level of DFT.

Output
* Fermi-level density of states: 2.0 states/eV per cell
* calculated total energy: -15.5 eV for the cell shown
* magnetic moment: 0.0 μB per formula unit
* crystal system: trigonal

```
Cu2Hg
1.0
2.8983 0.0000 0.0000
-1.4492 2.5100 0.0000
0.0000 0.0000 13.3835
Cu Hg
4 2
Cartesian
0.0000 1.6733 0.9524 Cu
0.0000 1.6733 10.5611 Cu
1.4492 0.8367 2.8224 Cu
1.4492 0.8367 12.4311 Cu
0.0000 1.6733 5.1685 Hg
1.4492 0.8367 8.2150 Hg
```

Record 4
Computed, not measured: crystalline Cu3Hg4 at its relaxed geometry at the PBE level of DFT.

Output
* Fermi-level density of states: 3.2 states/eV per cell
* calculated total energy: -11.7 eV for the cell shown
* magnetic moment: 0.0 μB per formula unit
* crystal system: cubic

```
Cu3Hg4
1.0
5.3255 0.0000 0.0000
0.0000 5.3255 0.0000
0.0000 0.0000 5.3255
Cu Hg
3 4
Cartesian
0.0000 0.0000 2.6628 Cu
0.0000 2.6628 0.0000 Cu
2.6628 0.0000 0.0000 Cu
0.0000 0.0000 0.0000 Hg
0.0000 2.6628 2.6628 Hg
2.6628 0.0000 2.6628 Hg
2.6628 2.6628 0.0000 Hg
```

Record 5
Computed, not measured: crystalline Cu4Hg5 at its relaxed geometry at the PBE level of DFT.

Output
* Fermi-level density of states: 6.7 states/eV per cell
* calculated total energy: -31.5 eV for the cell shown
* magnetic moment: 0.0 μB per formula unit
* crystal system: hexagonal

```
Cu4Hg5
1.0
8.1481 0.0000 0.0000
-4.0741 7.0565 0.0000
0.0000 0.0000 5.6201
Cu Hg
8 10
Cartesian
0.0000 0.0000 0.0000 Cu
0.0000 0.0000 2.8100 Cu
-1.5320 2.6535 1.4050 Cu
-2.5420 4.4030 4.2151 Cu
3.0640 0.0000 1.4050 Cu
1.5320 2.6535 4.2151 Cu
5.0841 0.0000 4.2151 Cu
2.5420 4.4030 1.4050 Cu
-1.1611 2.0110 4.2151 Hg
-2.9130 5.0455 1.4050 Hg
2.3221 0.0000 4.2151 Hg
1.1611 2.0110 1.4050 Hg
0.0000 4.7043 0.0000 Hg
0.0000 4.7043 2.8100 Hg
4.0741 2.3522 0.0000 Hg
4.0741 2.3522 2.8100 Hg
5.8260 0.0000 1.4050 Hg
2.9130 5.0455 4.2151 Hg
```

Record 6
Computed, not measured: crystalline CuHg2 at its relaxed geometry at the PBE level of DFT.

Output
* Fermi-level density of states: 2.3 states/eV per cell
* calculated total energy: -5.7 eV for the cell shown
* magnetic moment: 0.0 μB per formula unit
* crystal system: cubic

```
CuHg2
1.0
0.0000 4.0827 4.0827
4.0827 0.0000 4.0827
4.0827 4.0827 0.0000
Cu Hg
2 4
Cartesian
1.0207 1.0207 1.0207 Cu
7.1447 7.1447 7.1447 Cu
4.0827 2.0413 2.0413 Hg
2.0413 4.0827 2.0413 Hg
2.0413 2.0413 4.0827 Hg
4.0827 4.0827 4.0827 Hg
```